Record 1
VASP calculation (PBE with a Hubbard U) on a relaxed YFeF3 crystal.

abc: 4.459 4.459 4.459
angles: 90.00 90.00 90.00
Fractional positions:
Y 0.000 0.000 0.000
Fe 0.500 0.500 0.500
F 0.000 0.000 0.500
F 0.000 0.500 0.000
F 0.500 0.000 0.000

## Properties
**Space group**: Pm-3m

Record 2
VASP calculation (PBE with a Hubbard U) on a relaxed YFe3F crystal.

abc: 5.362 5.362 5.362
angles: 90.00 90.00 90.00
Fractional positions:
Y 0.000 0.000 0.000
Fe 0.000 0.000 0.500
Fe 0.000 0.500 0.000
Fe 0.500 0.000 0.000
F 0.500 0.500 0.500

## Properties
**Space group**: Pm-3m

Sequential total DFT energy (no corrections) output: -29.99, -17.66 eV for the cell shown
Sequential energy above the most stable polymorph in this dataset output: 0.000, 1.400 eV per atom
Sequential total magnetic moment output: 3.70, 9.95 μB/f.u.